[1]
## NiGe2Br (GGA-PBE)

Data for a relaxed NiGe2Br crystal.

Formation energy (no corrections) in eV per atom: 0.580
Distance to the lowest polymorph of the same formula in eV/f.u.: 1.91
Crystal system: cubic

The structure in POSCAR format:
```
NiGe2Br
1.0
6.684 0.000 0.000
0.000 6.684 0.000
0.000 0.000 6.684
Ni Ge Br
4 8 4
Direct
0.000 0.000 0.000
0.000 0.500 0.500
0.500 0.000 0.500
0.500 0.500 0.000
0.250 0.250 0.250
0.250 0.250 0.750
0.250 0.750 0.250
0.250 0.750 0.750
0.750 0.250 0.250
0.750 0.250 0.750
0.750 0.750 0.250
0.750 0.750 0.750
0.000 0.000 0.500
0.000 0.500 0.000
0.500 0.000 0.000
0.500 0.500 0.500
```

---

[2]
## TbNdHo2 (GGA-PBE)

Data for a relaxed TbNdHo2 crystal.

Distance to the lowest polymorph of the same formula in eV/f.u.: 0.08
Energy relative to the elements in kJ/mol of formula units: 7
Crystal system: trigonal

The structure in POSCAR format:
```
TbNdHo2
1.0
3.590 0.000 0.000
-1.795 3.109 0.000
0.000 0.000 34.731
Tb Nd Ho
3 3 6
Direct
0.000 0.000 0.000
0.333 0.667 0.667
0.667 0.333 0.333
0.000 0.000 0.166
0.333 0.667 0.833
0.667 0.333 0.499
0.000 0.000 0.415
0.000 0.000 0.585
0.333 0.667 0.082
0.333 0.667 0.251
0.667 0.333 0.749
0.667 0.333 0.918
```

---

[3]
## CsSr2Tl2 (GGA-PBE)

Data for a relaxed CsSr2Tl2 crystal.

Distance to the lowest polymorph of the same formula in eV/f.u.: 0.00
Energy relative to the elements in kJ/mol of formula units: -100
Crystal system: tetragonal

The structure in POSCAR format:
```
CsSr2Tl2
1.0
10.099 0.000 0.000
0.000 10.099 0.000
0.000 0.000 3.968
Cs Sr Tl
2 4 4
Direct
0.000 0.000 0.000
0.500 0.500 0.000
0.139 0.361 0.000
0.361 0.861 0.000
0.639 0.139 0.000
0.861 0.639 0.000
0.155 0.655 0.500
0.345 0.155 0.500
0.655 0.845 0.500
0.845 0.345 0.500
```

---

[4]
## Sm3As2IrRh9 (GGA-PBE)

Data for a relaxed Sm3As2IrRh9 crystal.

Energy relative to the elements in kJ/mol of formula units: -439
Crystal system: trigonal

The structure in POSCAR format:
```
Sm3As2IrRh9
1.0
5.617 0.000 0.000
-2.808 4.864 0.000
0.000 0.000 11.095
Sm As Ir Rh
3 2 1 9
Direct
0.000 0.000 0.000
0.333 0.667 0.577
0.667 0.333 0.423
0.333 0.667 0.161
0.667 0.333 0.839
0.000 0.000 0.500
0.000 0.500 0.000
0.168 0.335 0.323
0.168 0.832 0.323
0.335 0.168 0.677
0.500 0.000 0.000
0.500 0.500 0.000
0.665 0.832 0.323
0.832 0.168 0.677
0.832 0.665 0.677
```

---

Result set for theoretical density: 6.31, 8.14, 5.88, 9.42 g/cm³, one per record in the order listed.